Run one
## Tb2HgPb4 (GGA-PBE)

Data for a relaxed Tb2HgPb4 crystal.

Output
For the density of states at the Fermi level, the calculation gives 3.71 states/eV/cell. As for the crystal system: orthorhombic.

Structure (CIF):
```
data_Tb2HgPb4
_chemical_formula_sum 'Tb2 Hg1 Pb4'
_space_group_name_H-M_alt 'P 1'
_space_group_IT_number 1
_space_group_name_Hall 'P 1'
_cell_length_a 4.7995
_cell_length_b 6.5860
_cell_length_c 6.5860
_cell_angle_alpha 94.38
_cell_angle_beta 90.00
_cell_angle_gamma 90.00
loop_
_atom_site_label
_atom_site_type_symbol
_atom_site_fract_x
_atom_site_fract_y
_atom_site_fract_z
Tb1 Tb 0.0000 0.2694 0.7306
Tb2 Tb 0.0000 0.7306 0.2694
Pb1 Pb 0.5000 0.5000 0.0000
Hg1 Hg 0.5000 0.5000 0.5000
Pb2 Pb 0.5000 0.0000 0.5000
Pb3 Pb 0.0000 0.2203 0.2203
Pb4 Pb 0.0000 0.7797 0.7797
```

Run two
## Tb2HgPb4 (GGA-PBE)

Data for a relaxed Tb2HgPb4 crystal.

Output
For the density of states at the Fermi level, the calculation gives 5.56 states/eV/cell. As for the crystal system: monoclinic.

Structure (CIF):
```
data_Tb2HgPb4
_chemical_formula_sum 'Tb2 Hg1 Pb4'
_space_group_name_H-M_alt 'P 1'
_space_group_IT_number 1
_space_group_name_Hall 'P 1'
_cell_length_a 3.5488
_cell_length_b 8.2795
_cell_length_c 8.2410
_cell_angle_alpha 115.14
_cell_angle_beta 102.43
_cell_angle_gamma 90.00
loop_
_atom_site_label
_atom_site_type_symbol
_atom_site_fract_x
_atom_site_fract_y
_atom_site_fract_z
Tb1 Tb 0.7841 0.8533 0.5683
Pb1 Pb 0.3529 0.5848 0.7059
Pb2 Pb 0.6471 0.4152 0.2941
Pb3 Pb 0.9192 0.2896 0.8384
Pb4 Pb 0.0808 0.7104 0.1616
Hg1 Hg 0.0000 0.0000 0.0000
Tb2 Tb 0.2159 0.1467 0.4317
```

Name the least stable of them. run two.

Run one
## Tb3Hg4Pb (GGA-PBE)

Data for a relaxed Tb3Hg4Pb crystal.

Output
For the density of states at the Fermi level, the calculation gives 5.78 states/eV/cell. As for the crystal system: monoclinic.

Structure (CIF):
```
data_Tb3Hg4Pb
_chemical_formula_sum 'Tb3 Hg4 Pb1'
_space_group_name_H-M_alt 'P 1'
_space_group_IT_number 1
_space_group_name_Hall 'P 1'
_cell_length_a 3.5800
_cell_length_b 8.0821
_cell_length_c 8.7416
_cell_angle_alpha 115.95
_cell_angle_beta 101.82
_cell_angle_gamma 90.00
loop_
_atom_site_label
_atom_site_type_symbol
_atom_site_fract_x
_atom_site_fract_y
_atom_site_fract_z
Hg1 Hg 0.6461 0.4494 0.2922
Tb1 Tb 0.8157 0.8259 0.6315
Hg2 Hg 0.3627 0.1744 0.7254
Hg3 Hg 0.6373 0.8256 0.2746
Pb1 Pb 0.5000 0.0000 0.0000
Tb2 Tb 0.1843 0.1741 0.3685
Hg4 Hg 0.3539 0.5506 0.7078
Tb3 Tb 0.0000 0.5000 0.0000
```

Run two
## Tb3Hg4Pb (GGA-PBE)

Data for a relaxed Tb3Hg4Pb crystal.

Output
For the density of states at the Fermi level, the calculation gives 5.26 states/eV/cell. As for the crystal system: trigonal.

Structure (CIF):
```
data_Tb3Hg4Pb
_chemical_formula_sum 'Tb3 Hg4 Pb1'
_space_group_name_H-M_alt 'P 1'
_space_group_IT_number 1
_space_group_name_Hall 'P 1'
_cell_length_a 5.2494
_cell_length_b 5.2494
_cell_length_c 9.2746
_cell_angle_alpha 73.56
_cell_angle_beta 73.56
_cell_angle_gamma 60.00
loop_
_atom_site_label
_atom_site_type_symbol
_atom_site_fract_x
_atom_site_fract_y
_atom_site_fract_z
Pb1 Pb 0.0000 0.0000 0.0000
Hg1 Hg 0.1321 0.1321 0.6037
Tb1 Tb 0.2561 0.2561 0.2317
Hg2 Hg 0.8679 0.8679 0.3963
Hg3 Hg 0.3813 0.3813 0.8561
Tb2 Tb 0.5000 0.5000 0.5000
Hg4 Hg 0.6187 0.6187 0.1439
Tb3 Tb 0.7439 0.7439 0.7683
```

Name the least stable of them. run one.

Run one
## Tb2Hg3Pb (GGA-PBE)

Data for a relaxed Tb2Hg3Pb crystal.

Output
For the density of states at the Fermi level, the calculation gives 7.56 states/eV/cell. As for the crystal system: hexagonal.

Structure (CIF):
```
data_Tb2Hg3Pb
_chemical_formula_sum 'Tb8 Hg12 Pb4'
_space_group_name_H-M_alt 'P 1'
_space_group_IT_number 1
_space_group_name_Hall 'P 1'
_cell_length_a 7.5159
_cell_length_b 9.8105
_cell_length_c 9.8105
_cell_angle_alpha 120.00
_cell_angle_beta 90.00
_cell_angle_gamma 90.00
loop_
_atom_site_label
_atom_site_type_symbol
_atom_site_fract_x
_atom_site_fract_y
_atom_site_fract_z
Tb1 Tb 0.2500 0.0000 0.0000
Hg1 Hg 0.5501 0.3264 0.1632
Hg2 Hg 0.0501 0.1632 0.3264
Hg3 Hg 0.4499 0.1632 0.3264
Hg4 Hg 0.9499 0.8368 0.6736
Hg5 Hg 0.5501 0.8368 0.6736
Pb1 Pb 0.0339 0.6667 0.3333
Pb2 Pb 0.5339 0.3333 0.6667
Hg6 Hg 0.5501 0.8368 0.1632
Tb2 Tb 0.2500 0.4950 0.5050
Hg7 Hg 0.0501 0.6736 0.8368
Tb3 Tb 0.2500 0.0101 0.5050
Pb3 Pb 0.4661 0.6667 0.3333
Hg8 Hg 0.0501 0.1632 0.8368
Hg9 Hg 0.4499 0.6736 0.8368
Tb4 Tb 0.7500 0.5050 0.4950
Hg10 Hg 0.9499 0.3264 0.1632
Hg11 Hg 0.9499 0.8368 0.1632
Hg12 Hg 0.4499 0.1632 0.8368
Tb5 Tb 0.7500 0.0000 0.0000
Pb4 Pb 0.9661 0.3333 0.6667
Tb6 Tb 0.7500 0.9899 0.4950
Tb7 Tb 0.7500 0.5050 0.0101
Tb8 Tb 0.2500 0.4950 0.9899
```

Run two
## Tb2Hg3Pb (GGA-PBE)

Data for a relaxed Tb2Hg3Pb crystal.

Output
For the density of states at the Fermi level, the calculation gives 3.29 states/eV/cell. As for the crystal system: orthorhombic.

Structure (CIF):
```
data_Tb2Hg3Pb
_chemical_formula_sum 'Tb2 Hg3 Pb1'
_space_group_name_H-M_alt 'P 1'
_space_group_IT_number 1
_space_group_name_Hall 'P 1'
_cell_length_a 3.3976
_cell_length_b 5.7008
_cell_length_c 9.4234
_cell_angle_alpha 107.61
_cell_angle_beta 100.39
_cell_angle_gamma 90.00
loop_
_atom_site_label
_atom_site_type_symbol
_atom_site_fract_x
_atom_site_fract_y
_atom_site_fract_z
Hg1 Hg 0.8252 0.8252 0.6504
Tb1 Tb 0.6552 0.6552 0.3104
Hg2 Hg 0.1748 0.1748 0.3496
Tb2 Tb 0.3448 0.3448 0.6896
Hg3 Hg 0.0000 0.5000 0.0000
Pb1 Pb 0.0000 0.0000 0.0000
```

Name the least stable of them. run two.

Run one
## TbTlHgPb (GGA-PBE)

Data for a relaxed TbTlHgPb crystal.

Output
For the density of states at the Fermi level, the calculation gives 1.97 states/eV/cell. As for the crystal system: cubic.

Structure (CIF):
```
data_TbTlHgPb
_chemical_formula_sum 'Tb1 Tl1 Hg1 Pb1'
_space_group_name_H-M_alt 'P 1'
_space_group_IT_number 1
_space_group_name_Hall 'P 1'
_cell_length_a 5.4122
_cell_length_b 5.4122
_cell_length_c 5.4122
_cell_angle_alpha 60.00
_cell_angle_beta 60.00
_cell_angle_gamma 60.00
loop_
_atom_site_label
_atom_site_type_symbol
_atom_site_fract_x
_atom_site_fract_y
_atom_site_fract_z
Pb1 Pb 0.2500 0.2500 0.2500
Tb1 Tb 0.7500 0.7500 0.7500
Hg1 Hg 0.0000 0.0000 0.0000
Tl1 Tl 0.5000 0.5000 0.5000
```

Run two
## TbTlHgPb (GGA-PBE)

Data for a relaxed TbTlHgPb crystal.

Output
For the density of states at the Fermi level, the calculation gives 1.50 states/eV/cell. As for the crystal system: orthorhombic.

Structure (CIF):
```
data_TbTlHgPb
_chemical_formula_sum 'Tb1 Tl1 Hg1 Pb1'
_space_group_name_H-M_alt 'P 1'
_space_group_IT_number 1
_space_group_name_Hall 'P 1'
_cell_length_a 4.6371
_cell_length_b 4.8671
_cell_length_c 4.7181
_cell_angle_alpha 90.00
_cell_angle_beta 90.00
_cell_angle_gamma 90.00
loop_
_atom_site_label
_atom_site_type_symbol
_atom_site_fract_x
_atom_site_fract_y
_atom_site_fract_z
Hg1 Hg 0.5000 0.5000 0.0000
Tl1 Tl 0.0000 0.5000 0.5000
Pb1 Pb 0.0000 0.0000 0.0000
Tb1 Tb 0.5000 0.0000 0.5000
```

Name the least stable of them. run one.

Run one
## TbTmHgPb (GGA-PBE)

Data for a relaxed TbTmHgPb crystal.

Output
For the density of states at the Fermi level, the calculation gives 2.77 states/eV/cell. As for the crystal system: tetragonal.

Structure (CIF):
```
data_TbTmHgPb
_chemical_formula_sum 'Tb1 Tm1 Hg1 Pb1'
_space_group_name_H-M_alt 'P 1'
_space_group_IT_number 1
_space_group_name_Hall 'P 1'
_cell_length_a 3.8183
_cell_length_b 3.8183
_cell_length_c 7.3185
_cell_angle_alpha 90.00
_cell_angle_beta 90.00
_cell_angle_gamma 90.00
loop_
_atom_site_label
_atom_site_type_symbol
_atom_site_fract_x
_atom_site_fract_y
_atom_site_fract_z
Tb1 Tb 0.0000 0.0000 0.8499
Hg1 Hg 0.5000 0.5000 0.5991
Tm1 Tm 0.0000 0.0000 0.3666
Pb1 Pb 0.5000 0.5000 0.1123
```

Run two
## TbTmHgPb (GGA-PBE)

Data for a relaxed TbTmHgPb crystal.

Output
For the density of states at the Fermi level, the calculation gives 4.66 states/eV/cell. As for the crystal system: cubic.

Structure (CIF):
```
data_TbTmHgPb
_chemical_formula_sum 'Tb1 Tm1 Hg1 Pb1'
_space_group_name_H-M_alt 'P 1'
_space_group_IT_number 1
_space_group_name_Hall 'P 1'
_cell_length_a 5.3215
_cell_length_b 5.3215
_cell_length_c 5.3215
_cell_angle_alpha 60.00
_cell_angle_beta 60.00
_cell_angle_gamma 60.00
loop_
_atom_site_label
_atom_site_type_symbol
_atom_site_fract_x
_atom_site_fract_y
_atom_site_fract_z
Pb1 Pb 0.2500 0.2500 0.2500
Tb1 Tb 0.5000 0.5000 0.5000
Tm1 Tm 0.0000 0.0000 0.0000
Hg1 Hg 0.7500 0.7500 0.7500
```

Name the least stable of them. run two.

Run one
## HgTePb2 (GGA-PBE)

Data for a relaxed HgTePb2 crystal.

Output
For the density of states at the Fermi level, the calculation gives 1.85 states/eV/cell. As for the crystal system: trigonal.

Structure (CIF):
```
data_HgTePb2
_chemical_formula_sum 'Hg1 Te1 Pb2'
_space_group_name_H-M_alt 'P 1'
_space_group_IT_number 1
_space_group_name_Hall 'P 1'
_cell_length_a 4.1777
_cell_length_b 4.1777
_cell_length_c 8.9196
_cell_angle_alpha 76.46
_cell_angle_beta 76.46
_cell_angle_gamma 60.00
loop_
_atom_site_label
_atom_site_type_symbol
_atom_site_fract_x
_atom_site_fract_y
_atom_site_fract_z
Hg1 Hg 0.6671 0.6671 0.9987
Pb1 Pb 0.2508 0.2508 0.2476
Te1 Te 0.4988 0.4988 0.5036
Pb2 Pb 0.0833 0.0833 0.7502
```

Run two
## HgTePb2 (GGA-PBE)

Data for a relaxed HgTePb2 crystal.

Output
For the density of states at the Fermi level, the calculation gives 2.07 states/eV/cell. As for the crystal system: tetragonal.

Structure (CIF):
```
data_HgTePb2
_chemical_formula_sum 'Hg1 Te1 Pb2'
_space_group_name_H-M_alt 'P 1'
_space_group_IT_number 1
_space_group_name_Hall 'P 1'
_cell_length_a 5.3163
_cell_length_b 5.3120
_cell_length_c 4.3035
_cell_angle_alpha 90.00
_cell_angle_beta 90.00
_cell_angle_gamma 90.00
loop_
_atom_site_label
_atom_site_type_symbol
_atom_site_fract_x
_atom_site_fract_y
_atom_site_fract_z
Pb1 Pb 0.5000 0.5000 0.0000
Te1 Te 0.5000 0.0000 0.5000
Pb2 Pb 0.0000 0.0000 0.0000
Hg1 Hg 0.0000 0.5000 0.5000
```

Run three
## HgTePb2 (GGA-PBE)

Data for a relaxed HgTePb2 crystal.

Output
For the density of states at the Fermi level, the calculation gives 0.98 states/eV/cell. As for the crystal system: monoclinic.

Structure (CIF):
```
data_HgTePb2
_chemical_formula_sum 'Hg1 Te1 Pb2'
_space_group_name_H-M_alt 'P 1'
_space_group_IT_number 1
_space_group_name_Hall 'P 1'
_cell_length_a 5.8924
_cell_length_b 3.3162
_cell_length_c 6.4950
_cell_angle_alpha 76.22
_cell_angle_beta 90.00
_cell_angle_gamma 90.00
loop_
_atom_site_label
_atom_site_type_symbol
_atom_site_fract_x
_atom_site_fract_y
_atom_site_fract_z
Te1 Te 0.0000 0.3062 0.5058
Pb1 Pb 0.5000 0.4386 0.2480
Hg1 Hg 0.5000 0.6956 0.7423
Pb2 Pb 0.0000 0.0596 0.0039
```

Name the least stable of them. run three.